(1)
The following is a DFT calculation (PBE) of a relaxed Sc4CrSb crystal.

abc: 5.8243 5.8243 5.8243
angles: 60.00 60.00 60.00
Positions (direct):
Sb  0.0000  0.0000  0.0000
Sc  0.3755  0.3755  0.8735
Sc  0.3755  0.8735  0.3755
Sc  0.8735  0.3755  0.3755
Sc  0.3755  0.3755  0.3755
Cr  0.7500  0.7500  0.7500

Values from the calculation:
E_form (uncorrected) = 329 meV per atom
D(E_F) = 9.337 states/eV/f.u.
Calculated total energy = -6.18 eV/atom
Crystal system = cubic

(2)
The following is a DFT calculation (PBE) of a relaxed Co2Ge2Sb crystal.

abc: 3.6923 3.6923 6.3090
angles: 72.99 72.99 90.00
Positions (direct):
Ge  0.7500  0.2500  0.5000
Ge  0.2500  0.7500  0.5000
Co  0.3844  0.3844  0.2312
Co  0.6156  0.6156  0.7688
Sb  0.0000  0.0000  0.0000

Values from the calculation:
E_form (uncorrected) = 64 meV per atom
D(E_F) = 3.896 states/eV/f.u.
Offset from the most stable computed form = 0.00 eV per formula unit
Calculated total energy = -5.45 eV/atom
Crystal system = tetragonal

(3)
The following is a DFT calculation (PBE) of a relaxed Ni2SbP crystal.

abc: 5.3032 6.1627 14.6380
angles: 90.00 90.00 90.00
Positions (direct):
Ni  0.0126  0.2056  0.3498
Ni  0.0040  0.2005  0.5423
Ni  0.9960  0.7995  0.4577
Ni  0.0126  0.7056  0.1502
Ni  0.5126  0.7944  0.1502
Ni  0.9960  0.2995  0.0423
Ni  0.5126  0.2944  0.3498
Ni  0.9874  0.7944  0.6502
Ni  0.4874  0.7056  0.6502
Ni  0.5040  0.2995  0.5423
Ni  0.4960  0.2005  0.0423
Ni  0.0040  0.7005  0.9577
Ni  0.9874  0.2944  0.8498
Ni  0.4874  0.2056  0.8498
Ni  0.5040  0.7995  0.9577
Ni  0.4960  0.7005  0.4577
P  0.1909  0.5620  0.5566
P  0.6909  0.4380  0.9434
P  0.6909  0.9380  0.5566
P  0.3091  0.5620  0.0566
P  0.1909  0.0620  0.9434
P  0.3091  0.0620  0.4434
P  0.8091  0.4380  0.4434
P  0.8091  0.9380  0.0566
Sb  0.8068  0.4093  0.6870
Sb  0.1932  0.5907  0.3130
Sb  0.3068  0.0907  0.6870
Sb  0.1932  0.0907  0.1870
Sb  0.8068  0.9093  0.8130
Sb  0.6932  0.4093  0.1870
Sb  0.6932  0.9093  0.3130
Sb  0.3068  0.5907  0.8130

Values from the calculation:
E_form (uncorrected) = -312 meV per atom
D(E_F) = 1.879 states/eV/f.u.
Offset from the most stable computed form = 0.00 eV per formula unit
Calculated total energy = -5.59 eV/atom
Crystal system = orthorhombic

(4)
The following is a DFT calculation (PBE) of a relaxed Li3MgCd2 crystal.

abc: 3.4814 4.6325 13.8984
angles: 90.00 90.00 90.00
Positions (direct):
Mg  0.0002  0.5000  0.5000
Mg  0.9998  0.0000  0.0000
Cd  0.9999  0.5000  0.1617
Cd  0.9999  0.5000  0.8383
Cd  0.0001  0.0000  0.3383
Cd  0.0001  0.0000  0.6617
Li  0.4998  0.0000  0.8256
Li  0.5002  0.5000  0.6744
Li  0.4998  0.5000  0.0000
Li  0.5002  0.0000  0.5000
Li  0.4998  0.0000  0.1744
Li  0.5002  0.5000  0.3256

Values from the calculation:
Energy of formation = -0.198 eV/atom
D(E_F) = 1.934 states/eV/f.u.
Offset from the most stable computed form = 0.00 eV per formula unit
Calculated total energy = -1.73 eV/atom
Crystal system = orthorhombic

(5)
The following is a DFT calculation (PBE) of a relaxed MnCr2GeAs crystal.

abc: 4.6412 4.3788 4.6412
angles: 90.00 90.00 90.00
Positions (direct):
Mn  0.0000  0.5000  0.0000
Cr  0.0000  0.0000  0.5000
Cr  0.5000  0.0000  0.0000
Ge  0.5000  0.5000  0.5000
As  0.0000  0.0000  0.0000

Values from the calculation:
Energy of formation = 0.855 eV/atom
D(E_F) = 7.016 states/eV/f.u.
Calculated total energy = -6.68 eV/atom
Crystal system = tetragonal

(6)
The following is a DFT calculation (PBE) of a relaxed ZnAuSe2 crystal.

abc: 5.8963 5.8963 7.0898
angles: 65.43 65.43 90.00
Positions (direct):
Se  0.6105  0.1250  0.2500
Se  0.8750  0.8605  0.7500
Se  0.1395  0.6250  0.2500
Se  0.3750  0.3895  0.7500
Zn  0.5000  0.5000  0.0000
Zn  0.2500  0.7500  0.5000
Au  0.0000  0.0000  0.0000
Au  0.7500  0.2500  0.5000

Values from the calculation:
E_form (uncorrected) = -246 meV per atom
D(E_F) = 3.285 states/eV/f.u.
Calculated total energy = -3.13 eV/atom
Crystal system = tetragonal

(7)
The following is a DFT calculation (PBE) of a relaxed Ta2TlCd crystal.

abc: 4.6024 4.1343 4.1343
angles: 90.00 90.00 90.00
Positions (direct):
Ta  0.0000  0.0000  0.0000
Ta  0.0000  0.5000  0.5000
Tl  0.5000  0.5000  0.0000
Cd  0.5000  0.0000  0.5000

Values from the calculation:
Energy of formation = 0.442 eV/atom
D(E_F) = 2.025 states/eV/f.u.
Calculated total energy = -6.30 eV/atom
Crystal system = tetragonal

(8)
The following is a DFT calculation (PBE) of a relaxed Pr7MgCd3 crystal.

abc: 5.9241 8.3289 8.3289
angles: 89.43 110.85 110.85
Positions (direct):
Pr  0.1814  0.1804  0.1804
Pr  0.8186  0.8196  0.8196
Pr  0.3260  0.0512  0.6016
Pr  0.6740  0.9488  0.3984
Pr  0.3260  0.6016  0.0512
Pr  0.6740  0.3984  0.9488
Pr  0.0000  0.5000  0.5000
Cd  0.0000  0.2287  0.7713
Cd  0.0000  0.7713  0.2287
Cd  0.5000  0.0000  0.0000
Mg  0.5000  0.5000  0.5000

Values from the calculation:
Energy of formation = -0.017 eV/atom
D(E_F) = 12.058 states/eV/f.u.
Calculated total energy = -3.45 eV/atom
Crystal system = monoclinic

(9)
The following is a DFT calculation (PBE) of a relaxed Cs2TlSn10 crystal.

abc: 6.6333 11.7808 14.1232
angles: 90.00 90.00 90.00
Positions (direct):
Sn  0.0000  0.6361  0.0105
Sn  0.0000  0.1327  0.2627
Sn  0.0000  0.8639  0.5105
Sn  0.7302  0.2961  0.5990
Sn  0.7302  0.7039  0.4010
Sn  0.2698  0.2039  0.0990
Sn  0.0000  0.6198  0.7938
Sn  0.2698  0.2961  0.5990
Sn  0.7302  0.2039  0.0990
Sn  0.2698  0.7039  0.4010
Sn  0.0000  0.1198  0.7062
Sn  0.0000  0.1361  0.4895
Sn  0.2698  0.7961  0.9010
Sn  0.0000  0.8673  0.7373
Sn  0.0000  0.3802  0.2062
Sn  0.0000  0.8802  0.2938
Sn  0.0000  0.3673  0.7627
Sn  0.0000  0.3639  0.9895
Sn  0.0000  0.6327  0.2373
Sn  0.7302  0.7961  0.9010
Cs  0.5000  0.6371  0.6547
Cs  0.5000  0.1371  0.8453
Cs  0.5000  0.3629  0.3453
Cs  0.5000  0.8629  0.1547
Tl  0.0000  0.0000  0.0000
Tl  0.0000  0.5000  0.5000

Values from the calculation:
Energy of formation = 0.002 eV/atom
D(E_F) = 4.345 states/eV/f.u.
Calculated total energy = -3.39 eV/atom
Crystal system = orthorhombic

(10)
The following is a DFT calculation (PBE) of a relaxed CaTiCu2S4 crystal.

abc: 6.1201 5.9873 5.9873
angles: 77.96 59.26 59.26
Positions (direct):
Cu  0.5000  0.6698  0.3302
Cu  0.5000  0.3302  0.6698
S  0.0206  0.8702  0.5074
S  0.6018  0.5074  0.8702
S  0.9794  0.4926  0.1298
S  0.3982  0.1298  0.4926
Ca  0.0000  0.0000  0.0000
Ti  0.0000  0.5000  0.5000

Values from the calculation:
E_form (uncorrected) = -986 meV per atom
Calculated total energy = -5.31 eV/atom
Crystal system = orthorhombic

(11)
The following is a DFT calculation (PBE) of a relaxed SbMoOs2 crystal.

abc: 8.9881 8.9881 8.9881
angles: 18.78 18.78 18.78
Positions (direct):
Os  0.5026  0.5026  0.5026
Os  0.9974  0.9974  0.9974
Mo  0.2500  0.2500  0.2500
Sb  0.7500  0.7500  0.7500

Values from the calculation:
E_form (uncorrected) = 488 meV per atom
D(E_F) = 4.223 states/eV/f.u.
Calculated total energy = -8.87 eV/atom
Crystal system = trigonal

(12)
The following is a DFT calculation (PBE) of a relaxed LaDy7Er2 crystal.

abc: 6.1597 9.4205 6.1537
angles: 109.06 80.29 77.45
Positions (direct):
Dy  0.9980  0.4017  0.2013
Dy  0.5005  0.1014  0.7988
Dy  0.0020  0.5983  0.7987
Dy  0.0010  0.7968  0.3979
Dy  0.5000  0.5000  0.0000
Dy  0.9990  0.2032  0.6021
Dy  0.4995  0.8986  0.2012
Er  0.5026  0.6980  0.5989
Er  0.4974  0.3020  0.4011
La  0.0000  0.0000  0.0000

Values from the calculation:
Energy of formation = 0.024 eV/atom
D(E_F) = 14.189 states/eV/f.u.
Offset from the most stable computed form = 0.00 eV per formula unit
Calculated total energy = -4.60 eV/atom
Crystal system = triclinic

- Which of these has the highest calculated total energy?
  Li3MgCd2

- Which value of calculated total energy does entry 8 give?
  -3.45 eV/atom

- Which value of calculated total energy does entry 10 give?
  -5.31 eV/atom